[1]
The following is a GGA-PBE calculation of La2Pm3Sm6Y after structural relaxation, from the Alexandria database.

a b c (Å): 6.3246 6.3246 12.1137
angles (deg): 95.02 95.02 119.99
With the nearest neighbours (Å) after each atom.
Sites, in units of the cell vectors:
Pm1 0.8336 0.1664 0.5000  6 Sm 3.63-3.64, 6 Pm 3.65
Pm2 0.5000 0.5000 0.5000  6 Sm 3.63-3.64, 6 Pm 3.65
Pm3 0.1664 0.8336 0.5000  6 Sm 3.63-3.64, 6 Pm 3.65
Sm1 0.2487 0.2487 0.7480  3 Pm 3.63-3.64, 6 Sm 3.64-3.66, 1 Y 3.67, 2 La 3.67
Sm2 0.5836 0.9161 0.7483  3 Pm 3.63-3.64, 6 Sm 3.64-3.66, 1 Y 3.66, 2 La 3.67
Sm3 0.0839 0.4164 0.2517  3 Pm 3.63-3.64, 6 Sm 3.64-3.66, 1 Y 3.66, 2 La 3.67
Sm4 0.4164 0.0839 0.2517  3 Pm 3.63-3.64, 6 Sm 3.64-3.66, 1 Y 3.66, 2 La 3.67
Sm5 0.9161 0.5836 0.7483  3 Pm 3.63-3.64, 6 Sm 3.64-3.66, 1 Y 3.66, 2 La 3.67
Sm6 0.7513 0.7513 0.2520  3 Pm 3.63-3.64, 6 Sm 3.64-3.66, 1 Y 3.67, 2 La 3.67
La1 0.3334 0.6666 0.0000  3 La 3.65, 3 Y 3.65, 6 Sm 3.67
La2 0.6666 0.3334 0.0000  3 La 3.65, 3 Y 3.65, 6 Sm 3.67
Y1 0.0000 0.0000 0.0000  6 La 3.65, 6 Sm 3.66-3.67

Values from the calculation:
For the energy of formation from the pure elements, the calculation gives 1.6 kJ/mol of atoms.



[2]
The following is a GGA-PBE calculation of CaCr2Ru after structural relaxation, from the Alexandria database.

a b c (Å): 5.3693 5.3693 5.3693
angles (deg): 147.04 126.75 64.06
With the nearest neighbours (Å) after each atom.
Sites, in units of the cell vectors:
Ca1 0.2558 0.7558 0.5000  8 Cr 2.85-3.11, 4 Ru 2.89-3.19, 2 Ca 3.05
Cr1 0.7457 0.2457 0.5000  2 Ru 2.52, 2 Cr 2.57
Cr2 0.9726 0.9726 0.0000  2 Cr 2.57
Ru1 0.5258 0.5258 0.0000  2 Cr 2.52

Values from the calculation:
For the energy of formation from the pure elements, the calculation gives 53.5 kJ/mol of atoms. The energy above the most stable polymorph in this dataset is 180.1 meV per atom.



[3]
The following is a GGA-PBE calculation of Mg2FeSb2 after structural relaxation, from the Alexandria database.

a b c (Å): 6.8759 6.8759 4.6626
angles (deg): 90.00 90.00 90.00
With the nearest neighbours (Å) after each atom.
Sites, in units of the cell vectors:
Sb1 0.3468 0.8468 0.0000  2 Fe 2.61, 2 Mg 2.91
Sb2 0.8468 0.6532 0.0000  2 Fe 2.61, 2 Mg 2.91
Sb3 0.6532 0.1532 0.0000  2 Fe 2.61, 2 Mg 2.91
Sb4 0.1532 0.3468 0.0000  2 Fe 2.61, 2 Mg 2.91
Fe1 0.0000 0.0000 0.0000  4 Sb 2.61
Fe2 0.5000 0.5000 0.0000  4 Sb 2.61
Mg1 0.1672 0.6672 0.5000  6 Sb 2.91-3.21, 1 Mg 3.25
Mg2 0.3328 0.1672 0.5000  6 Sb 2.91-3.21, 1 Mg 3.25
Mg3 0.8328 0.3328 0.5000  6 Sb 2.91-3.21, 1 Mg 3.25
Mg4 0.6672 0.8328 0.5000  6 Sb 2.91-3.21, 1 Mg 3.25

Values from the calculation:
For the uncorrected formation energy, the calculation gives 0.063 eV per atom.



Which magnetization belongs to each record? In order, 0.0; 0.4; 1.9 μB per formula unit.
Which E_tot belongs to each record? In order, -4.891; -7.077; -3.916 eV/atom.